1.
First-principles (PBE) data for a geometry-optimized Al2Ag structure, as listed in Alexandria.

Results
VASP energy = -0.2398 Ry/atom
Energy of formation from the pure elements = 183 meV/atom

Lattice parameters (Å, degrees): 5.347 5.347 5.347 60.00 60.00 60.00
Sites, in units of the cell vectors:
1 Al 0.125 0.125 0.625
2 Al 0.125 0.625 0.125
3 Al 0.625 0.125 0.125
4 Al 0.125 0.125 0.125
5 Ag 0.750 0.750 0.750
6 Ag 0.500 0.500 0.500

2.
First-principles (PBE) data for a geometry-optimized CeYMgZn structure, as listed in Alexandria.

Results
VASP energy = -0.2881 Ry/atom
Energy of formation from the pure elements = -103 meV/atom

Lattice parameters (Å, degrees): 5.237 5.237 5.237 60.00 60.00 60.00
Sites, in units of the cell vectors:
1 Y 0.000 0.000 0.000
2 Mg 0.750 0.750 0.750
3 Ce 0.500 0.500 0.500
4 Zn 0.250 0.250 0.250

3.
First-principles (PBE) data for a geometry-optimized YAsRu structure, as listed in Alexandria.

Results
VASP energy = -0.5361 Ry/atom
Energy of formation from the pure elements = -497 meV/atom

Lattice parameters (Å, degrees): 5.899 5.899 3.217 74.18 74.18 31.65
Sites, in units of the cell vectors:
1 Y 0.672 0.672 0.328
2 As 0.969 0.969 0.031
3 Ru 0.359 0.359 0.641

4.
First-principles (PBE) data for a geometry-optimized Sr2ScPaO6 structure, as listed in Alexandria.

Results
VASP energy = -0.6079 Ry/atom
E_form (uncorrected) = -3.38 eV/atom

Lattice parameters (Å, degrees): 5.910 5.996 8.399 90.00 90.25 90.00
Sites, in units of the cell vectors:
1 O 0.287 0.708 0.047
2 O 0.587 0.027 0.253
3 O 0.213 0.208 0.453
4 O 0.713 0.292 0.953
5 O 0.294 0.712 0.455
6 O 0.206 0.212 0.045
7 O 0.787 0.792 0.547
8 O 0.794 0.788 0.955
9 O 0.087 0.473 0.753
10 O 0.913 0.527 0.247
11 O 0.706 0.288 0.545
12 O 0.413 0.973 0.747
13 Sc 0.500 0.000 0.500
14 Sc 0.000 0.500 0.000
15 Pa 0.000 0.500 0.500
16 Pa 0.500 0.000 0.000
17 Sr 0.010 0.962 0.249
18 Sr 0.510 0.538 0.749
19 Sr 0.490 0.462 0.251
20 Sr 0.990 0.038 0.751

5.
First-principles (PBE) data for a geometry-optimized NpPdN2 structure, as listed in Alexandria.

Results
VASP energy = -0.6723 Ry/atom
E_form (uncorrected) = -0.45 eV/atom

Lattice parameters (Å, degrees): 3.466 3.466 5.391 71.25 71.25 60.00
Sites, in units of the cell vectors:
1 Np 0.500 0.500 0.500
2 N 0.769 0.769 0.693
3 N 0.231 0.231 0.307
4 Pd 0.000 0.000 0.000

6.
First-principles (PBE) data for a geometry-optimized RbLaSn2Au structure, as listed in Alexandria.

Results
VASP energy = -0.2537 Ry/atom
Energy of formation from the pure elements = -16 meV/atom

Lattice parameters (Å, degrees): 5.766 5.721 5.766 90.00 90.00 90.00
Sites, in units of the cell vectors:
1 Sn 0.000 0.000 0.500
2 Sn 0.500 0.000 0.000
3 La 0.000 0.500 0.000
4 Rb 0.500 0.500 0.500
5 Au 0.000 0.000 0.000

7.
First-principles (PBE) data for a geometry-optimized MnPd5Pt5 structure, as listed in Alexandria.

Results
Excess energy over the best structure of this formula in the dataset = 0 meV/atom
VASP energy = -0.4362 Ry/atom
Energy of formation from the pure elements = 5 meV/atom

Lattice parameters (Å, degrees): 5.104 6.842 5.143 82.57 85.03 97.73
Sites, in units of the cell vectors:
1 Pd 0.723 0.074 0.484
2 Pd 0.521 0.007 0.007
3 Pd 0.199 0.666 0.989
4 Pd 0.819 0.354 0.060
5 Pd 0.172 0.869 0.451
6 Pt 0.726 0.718 0.796
7 Pt 0.283 0.270 0.253
8 Pt 0.983 0.469 0.535
9 Pt 0.426 0.356 0.719
10 Pt 0.606 0.668 0.317
11 Mn 0.042 0.049 0.888

8.
First-principles (PBE) data for a geometry-optimized Ca4MgCu structure, as listed in Alexandria.

Results
Excess energy over the best structure of this formula in the dataset = 100 meV/atom
VASP energy = -0.1665 Ry/atom
Energy of formation from the pure elements = 18 meV/atom

Lattice parameters (Å, degrees): 3.973 9.100 10.709 90.00 90.00 90.00
Sites, in units of the cell vectors:
1 Ca 0.000 0.000 0.000
2 Ca 0.500 0.890 0.250
3 Ca 0.500 0.675 0.921
4 Ca 0.000 0.000 0.500
5 Ca 0.500 0.110 0.750
6 Ca 0.500 0.325 0.079
7 Ca 0.500 0.325 0.421
8 Ca 0.500 0.675 0.579
9 Mg 0.000 0.581 0.250
10 Mg 0.000 0.419 0.750
11 Cu 0.000 0.161 0.250
12 Cu 0.000 0.839 0.750

9.
First-principles (PBE) data for a geometry-optimized CaScH2 structure, as listed in Alexandria.

Results
Excess energy over the best structure of this formula in the dataset = 0 meV/atom
VASP energy = -0.2970 Ry/atom

Lattice parameters (Å, degrees): 5.096 5.096 6.118 65.39 65.39 90.00
Sites, in units of the cell vectors:
1 H 0.684 0.125 0.250
2 H 0.066 0.625 0.250
3 H 0.875 0.934 0.750
4 H 0.375 0.316 0.750
5 Sc 0.000 0.000 0.000
6 Sc 0.750 0.250 0.500
7 Ca 0.250 0.750 0.500
8 Ca 0.500 0.500 0.000

10.
First-principles (PBE) data for a geometry-optimized LaMo2Ir structure, as listed in Alexandria.

Results
Excess energy over the best structure of this formula in the dataset = 255 meV/atom
VASP energy = -0.6221 Ry/atom
Energy of formation from the pure elements = 399 meV/atom

Lattice parameters (Å, degrees): 3.423 4.492 4.945 90.00 90.00 90.00
Sites, in units of the cell vectors:
1 La 0.000 0.500 0.500
2 Mo 0.000 0.000 0.000
3 Mo 0.500 0.500 0.000
4 Ir 0.500 0.000 0.500

11.
First-principles (PBE) data for a geometry-optimized ReSn3Pd structure, as listed in Alexandria.

Results
Excess energy over the best structure of this formula in the dataset = 569 meV/atom
VASP energy = -0.3559 Ry/atom
Energy of formation from the pure elements = 1087 meV/atom

Lattice parameters (Å, degrees): 5.125 5.125 5.125 90.00 90.00 90.00
Sites, in units of the cell vectors:
1 Pd 0.000 0.000 0.000
2 Sn 0.500 0.000 0.000
3 Sn 0.000 0.000 0.500
4 Sn 0.000 0.500 0.000
5 Re 0.500 0.500 0.500

12.
First-principles (PBE) data for a geometry-optimized K2NaGeF6 structure, as listed in Alexandria.

Results
VASP energy = -0.3317 Ry/atom
E_form (uncorrected) = -2.58 eV/atom

Lattice parameters (Å, degrees): 6.058 6.060 8.567 90.00 90.00 90.00
Sites, in units of the cell vectors:
1 F 0.235 0.516 0.000
2 F 0.000 0.750 0.235
3 F 0.735 0.015 0.500
4 F 0.000 0.750 0.765
5 F 0.500 0.250 0.265
6 F 0.735 0.484 0.500
7 F 0.500 0.250 0.735
8 F 0.265 0.484 0.500
9 F 0.235 0.985 0.000
10 F 0.765 0.516 0.000
11 F 0.265 0.015 0.500
12 F 0.765 0.985 0.000
13 K 0.000 0.250 0.250
14 K 0.000 0.250 0.750
15 K 0.500 0.750 0.250
16 K 0.500 0.750 0.750
17 Na 0.000 0.750 0.500
18 Na 0.500 0.250 0.000
19 Ge 0.000 0.750 0.000
20 Ge 0.500 0.250 0.500